(1)
DFT (PBE) results for a relaxed UH10C10N2Cl6 crystal.

Unit cell a=8.286 b=8.286 c=7.013 alpha=98.38 beta=98.38 gamma=69.69
Fractional coordinates of all 29 atoms:
U  0.000  0.000  0.000
H  0.073  0.513  0.724
H  0.210  0.669  0.559
H  0.228  0.228  0.792
H  0.331  0.790  0.441
H  0.487  0.927  0.276
H  0.513  0.073  0.724
H  0.669  0.210  0.559
H  0.772  0.772  0.208
H  0.790  0.331  0.441
H  0.927  0.487  0.276
C  0.205  0.454  0.683
C  0.284  0.538  0.592
C  0.454  0.205  0.683
C  0.456  0.456  0.546
C  0.462  0.716  0.408
C  0.538  0.284  0.592
C  0.544  0.544  0.454
C  0.546  0.795  0.317
C  0.716  0.462  0.408
C  0.795  0.546  0.317
N  0.291  0.291  0.728
N  0.709  0.709  0.272
Cl  0.081  0.698  0.124
Cl  0.122  0.122  0.328
Cl  0.302  0.919  0.876
Cl  0.698  0.081  0.124
Cl  0.878  0.878  0.672
Cl  0.919  0.302  0.876

Space-group type = C2/m, No. 12
Electronic total energy = -177.9 eV for the cell shown
Calculated volume = 444.3 Å³ per cell

=====

(2)
DFT (PBE) results for a relaxed UH18C20N4Cl6 crystal.

Unit cell a=8.574 b=9.324 c=9.594 alpha=63.32 beta=88.89 gamma=67.03
Fractional coordinates of all 49 atoms:
U  0.000  0.000  0.000
H  0.105  0.088  0.462
H  0.123  0.559  0.573
H  0.124  0.275  0.183
H  0.208  0.326  0.860
H  0.292  0.733  0.459
H  0.295  0.044  0.687
H  0.374  0.559  0.100
H  0.474  0.272  0.023
H  0.498  0.188  0.624
H  0.502  0.812  0.376
H  0.526  0.728  0.977
H  0.626  0.441  0.900
H  0.705  0.956  0.313
H  0.708  0.267  0.541
H  0.792  0.674  0.140
H  0.876  0.725  0.817
H  0.877  0.441  0.427
H  0.895  0.912  0.538
C  0.195  0.149  0.439
C  0.205  0.254  0.283
C  0.235  0.533  0.648
C  0.281  0.404  0.808
C  0.301  0.125  0.564
C  0.331  0.631  0.583
C  0.414  0.205  0.529
C  0.415  0.308  0.369
C  0.426  0.372  0.899
C  0.474  0.598  0.679
C  0.526  0.402  0.321
C  0.574  0.628  0.101
C  0.585  0.692  0.631
C  0.586  0.795  0.471
C  0.669  0.369  0.417
C  0.699  0.875  0.436
C  0.719  0.596  0.192
C  0.765  0.467  0.352
C  0.795  0.746  0.717
C  0.805  0.851  0.561
N  0.313  0.332  0.248
N  0.484  0.532  0.168
N  0.516  0.468  0.832
N  0.687  0.668  0.752
Cl  0.047  0.713  0.261
Cl  0.166  0.802  0.867
Cl  0.290  0.986  0.099
Cl  0.710  0.014  0.901
Cl  0.834  0.198  0.133
Cl  0.953  0.287  0.739

Space-group type = P-1, No. 2
Electronic total energy = -313.4 eV for the cell shown
Calculated volume = 619.5 Å³ per cell

=====

Q: Which of these has the highest calculated volume?
A: UH18C20N4Cl6

=====

Copy entry 2 word for word.
DFT (PBE) results for a relaxed UH18C20N4Cl6 crystal.

Unit cell a=8.574 b=9.324 c=9.594 alpha=63.32 beta=88.89 gamma=67.03
Fractional coordinates of all 49 atoms:
U  0.000  0.000  0.000
H  0.105  0.088  0.462
H  0.123  0.559  0.573
H  0.124  0.275  0.183
H  0.208  0.326  0.860
H  0.292  0.733  0.459
H  0.295  0.044  0.687
H  0.374  0.559  0.100
H  0.474  0.272  0.023
H  0.498  0.188  0.624
H  0.502  0.812  0.376
H  0.526  0.728  0.977
H  0.626  0.441  0.900
H  0.705  0.956  0.313
H  0.708  0.267  0.541
H  0.792  0.674  0.140
H  0.876  0.725  0.817
H  0.877  0.441  0.427
H  0.895  0.912  0.538
C  0.195  0.149  0.439
C  0.205  0.254  0.283
C  0.235  0.533  0.648
C  0.281  0.404  0.808
C  0.301  0.125  0.564
C  0.331  0.631  0.583
C  0.414  0.205  0.529
C  0.415  0.308  0.369
C  0.426  0.372  0.899
C  0.474  0.598  0.679
C  0.526  0.402  0.321
C  0.574  0.628  0.101
C  0.585  0.692  0.631
C  0.586  0.795  0.471
C  0.669  0.369  0.417
C  0.699  0.875  0.436
C  0.719  0.596  0.192
C  0.765  0.467  0.352
C  0.795  0.746  0.717
C  0.805  0.851  0.561
N  0.313  0.332  0.248
N  0.484  0.532  0.168
N  0.516  0.468  0.832
N  0.687  0.668  0.752
Cl  0.047  0.713  0.261
Cl  0.166  0.802  0.867
Cl  0.290  0.986  0.099
Cl  0.710  0.014  0.901
Cl  0.834  0.198  0.133
Cl  0.953  0.287  0.739

Space-group type = P-1, No. 2
Electronic total energy = -313.4 eV for the cell shown
Calculated volume = 619.5 Å³ per cell

=====

Q: Among the records above, which one has the highest electronic total energy?
A: UH10C10N2Cl6